No. 1
Pa2BiS: optimized geometry, PBE-GGA.

Cell: 4.0401 4.0401 22.0615 Å, 90.00 90.00 120.00°
Closest atoms and distances in Å follow each position.
Space group R3m (No. 160, hexagonal axes)
Asymmetric unit:
Pa 0.0000 0.0000 0.0000  3 S 2.74
Pa 0.0000 0.0000 0.2019  3 S 2.75
Bi 0.0000 0.0000 0.4323  6 Pa 3.19-3.26
S 0.0000 0.0000 0.6017  6 Pa 2.74-2.75

Values from the calculation:
Excess energy over the best structure of this formula in the dataset = 74.8 meV per atom
Formation energy without anion corrections = -0.777 eV per atom
DFT total energy = -7.527 eV/atom
Magnetic moment = 1.222 μB per formula unit

***

No. 2
La5Pr2Dy12: optimized geometry, PBE-GGA.

Cell: 6.8646 6.8987 15.2334 Å, 87.74 80.26 64.84°
Closest atoms and distances in Å follow each position.
Space group P-1 (No. 2)
Asymmetric unit:
La 0.0000 0.0000 0.0000  2 La 3.55, 4 Dy 3.55-3.97
La 0.2336 0.9967 0.5350  2 La 3.53-3.65, 4 Pr 3.58-3.74, 6 Dy 3.59-3.83
La 0.4246 0.9464 0.1169  6 Dy 3.28-3.65, 1 La 3.55
Pr 0.2632 0.4878 0.4686  2 Pr 3.51-3.61, 4 La 3.58-3.74, 6 Dy 3.62-3.78
Dy 0.0831 0.2423 0.3126  7 Dy 3.50-3.72, 3 La 3.55-3.83, 2 Pr 3.62-3.78
Dy 0.0836 0.7430 0.2554  7 Dy 3.31-3.62, 2 La 3.58-3.60
Dy 0.1217 0.5142 0.8845  8 Dy 3.30-3.68, 2 La 3.37-3.55
Dy 0.3814 0.7766 0.7441  7 Dy 3.32-3.63, 2 La 3.59-3.65, 1 Pr 3.71
Dy 0.3869 0.4308 0.0793  4 Dy 2.99-3.32, 1 La 3.28
Dy 0.4360 0.2644 0.6758  3 La 3.53-3.67, 7 Dy 3.56-3.72, 2 Pr 3.62-3.63

Values from the calculation:
DFT total energy = -4.615 eV/atom
Magnetic moment = 0.000 μB per formula unit

***

No. 3
USe2S2: optimized geometry, PBE-GGA.

Cell: 7.0885 4.0600 11.2772 Å, 90.00 91.63 90.00°
Closest atoms and distances in Å follow each position.
Space group C2/m (No. 12)
Asymmetric unit:
U 0.0000 0.0000 0.0000  6 Se 2.82
Se 0.1739 0.5000 0.1382  3 U 2.82
S 0.1210 0.5000 0.5405  1 S 1.92

Values from the calculation:
Formation energy without anion corrections = -0.532 eV per atom
DFT total energy = -5.834 eV/atom
Magnetic moment = 2.010 μB per formula unit

***

No. 4
TaCd2Si: optimized geometry, PBE-GGA.

Cell: 7.7846 7.7846 5.2671 Å, 90.00 90.00 90.00°
Closest atoms and distances in Å follow each position.
Space group I-42d (No. 122)
Asymmetric unit:
Ta 0.0000 0.0000 0.0000  2 Si 2.63
Cd 0.2181 0.2500 0.6250  2 Si 2.67, 2 Cd 2.68
Si 0.0000 0.0000 0.5000  2 Ta 2.63, 4 Cd 2.67

Values from the calculation:
Formation energy without anion corrections = 0.551 eV per atom
DFT total energy = -4.225 eV/atom
Magnetic moment = 0.000 μB per formula unit

***

No. 5
BaNaTeCl: optimized geometry, PBE-GGA.

Cell: 4.9133 4.9133 11.1215 Å, 90.00 90.00 90.00°
Closest atoms and distances in Å follow each position.
Space group P4/nmm (No. 129, origin choice 2)
Asymmetric unit:
Ba 0.2500 0.2500 0.1725  4 Cl 3.12
Na 0.2500 0.7500 0.5000  4 Te 3.15, 4 Na 3.47
Te 0.2500 0.2500 0.6766  4 Na 3.15
Cl 0.2500 0.7500 0.0000  4 Ba 3.12, 4 Cl 3.47

Values from the calculation:
Excess energy over the best structure of this formula in the dataset = 0.0 meV per atom
Formation energy without anion corrections = -1.703 eV per atom
DFT total energy = -3.760 eV/atom
Magnetic moment = 0.000 μB per formula unit

***

No. 6
Sc3BiSb: optimized geometry, PBE-GGA.

Cell: 5.4043 5.4043 5.4043 Å, 90.00 90.00 90.00°
Closest atoms and distances in Å follow each position.
Space group Pm-3m (No. 221)
Asymmetric unit:
Sc 0.0000 0.0000 0.5000  2 Bi 2.70
Bi 0.0000 0.0000 0.0000  6 Sc 2.70
Sb 0.5000 0.5000 0.5000  12 Sc 3.82

Values from the calculation:
Excess energy over the best structure of this formula in the dataset = 655.8 meV per atom
Formation energy without anion corrections = 0.213 eV per atom
DFT total energy = -5.187 eV/atom
Magnetic moment = 1.196 μB per formula unit